# 1
Here is a geometry-optimized Pm2DyTm3Sb6 structure from Alexandria via LeMat-Bulk. Energies are from GGA-PBE.

Crystal system   monoclinic
SG   C2/m (12)
ΔE_f (raw)   -1.115 eV per atom

Lattice parameters (Å, degrees): 9.8283 9.8283 8.7909 102.81 102.81 25.86
Closest atoms and distances in Å follow each position.
Element x y z (fractional)
Pm 0.1660 0.1660 0.3326  6 Sb 3.15-3.16
Pm 0.8340 0.8340 0.6674  6 Sb 3.15-3.16
Dy 0.5000 0.5000 0.0000  6 Sb 3.12
Tm 0.1676 0.1676 0.8337  6 Sb 3.06-3.09
Tm 0.5000 0.5000 0.5000  6 Sb 3.07-3.10
Tm 0.8324 0.8324 0.1663  6 Sb 3.06-3.09
Sb 0.0029 0.0029 0.7493  3 Tm 3.07-3.10, 2 Dy 3.12, 1 Pm 3.15
Sb 0.3330 0.3330 0.9239  3 Tm 3.06-3.09, 1 Dy 3.12, 2 Pm 3.15
Sb 0.3355 0.3355 0.4109  3 Tm 3.07, 3 Pm 3.15-3.16
Sb 0.6645 0.6645 0.5891  3 Tm 3.07, 3 Pm 3.15-3.16
Sb 0.6670 0.6670 0.0761  3 Tm 3.06-3.09, 1 Dy 3.12, 2 Pm 3.15
Sb 0.9971 0.9971 0.2507  3 Tm 3.07-3.10, 2 Dy 3.12, 1 Pm 3.15


# 2
Here is a geometry-optimized CoRe3 structure from Alexandria via LeMat-Bulk. Energies are from GGA-PBE.

Crystal system   tetragonal
DFT formation energy   0.18 eV per atom
SG   P4/mmm (123)

Lattice parameters (Å, degrees): 3.1500 3.1500 5.6369 90.00 90.00 90.00
Closest atoms and distances in Å follow each position.
Element x y z (fractional)
Co 0.0000 0.0000 0.0000  10 Re 2.55-2.82
Re 0.0000 0.0000 0.5000  8 Re 2.73, 2 Co 2.82
Re 0.5000 0.5000 0.2215  5 Re 2.50-2.73, 4 Co 2.55
Re 0.5000 0.5000 0.7785  5 Re 2.50-2.73, 4 Co 2.55


# 3
Here is a geometry-optimized Li2Pm2Ni15 structure from Alexandria via LeMat-Bulk. Energies are from GGA-PBE.

Crystal system   trigonal
DFT formation energy   -0.21 eV per atom
SG   R-3m (166)

Lattice parameters (Å, degrees): 6.3072 6.3072 6.3072 83.40 83.40 83.40
Closest atoms and distances in Å follow each position.
Element x y z (fractional)
Li 0.0931 0.0931 0.0931  1 Li 2.25
Li 0.9069 0.9069 0.9069  1 Li 2.25
Pm 0.3426 0.3426 0.3426  18 Ni 2.95-3.23, 1 Li 3.02
Pm 0.6574 0.6574 0.6574  18 Ni 2.95-3.23, 1 Li 3.02
Ni 0.0000 0.0000 0.5000  8 Ni 2.39-2.42, 2 Li 2.58
Ni 0.0000 0.3007 0.6993  8 Ni 2.39-2.54
Ni 0.0000 0.5000 0.0000  8 Ni 2.39-2.42, 2 Li 2.58
Ni 0.0000 0.6993 0.3007  8 Ni 2.39-2.54
Ni 0.1570 0.6579 0.6579  8 Ni 2.42-2.54, 1 Li 2.62
Ni 0.3007 0.0000 0.6993  8 Ni 2.39-2.54
Ni 0.3007 0.6993 0.0000  8 Ni 2.39-2.54
Ni 0.3421 0.3421 0.8430  8 Ni 2.42-2.54, 1 Li 2.62
Ni 0.3421 0.8430 0.3421  8 Ni 2.42-2.54, 1 Li 2.62
Ni 0.5000 0.0000 0.0000  8 Ni 2.39-2.42, 2 Li 2.58
Ni 0.6579 0.1570 0.6579  8 Ni 2.42-2.54, 1 Li 2.62
Ni 0.6579 0.6579 0.1570  8 Ni 2.42-2.54, 1 Li 2.62
Ni 0.6993 0.0000 0.3007  8 Ni 2.39-2.54
Ni 0.6993 0.3007 0.0000  8 Ni 2.39-2.54
Ni 0.8430 0.3421 0.3421  8 Ni 2.42-2.54, 1 Li 2.62


Number 1: total magnetic moment 0.0 μB per formula unit. Number 2: total magnetic moment 0.0 μB per formula unit. Number 3: total magnetic moment 5.1 μB per formula unit.